This record from Alexandria describes Sr3OsAu after structural relaxation. The functional is PBE-GGA.

Computed properties:
- Distance to the lowest polymorph of the same formula: 0.0 meV/atom
- V: 37.06 Å³/atom
- Density: 5.825 g/cm3
- Energy of formation from the pure elements: 0.35 eV/atom

Lattice parameters (Å, degrees): 5.7013 5.7013 5.7013 90.00 90.00 90.00
With the nearest neighbours (Å) after each atom.
Element x y z (fractional)
Sr (0.0000, 0.0000, 0.5000)  2 Os 2.85
Sr (0.0000, 0.5000, 0.0000)  2 Os 2.85
Sr (0.5000, 0.0000, 0.0000)  2 Os 2.85
Os (0.0000, 0.0000, 0.0000)  6 Sr 2.85
Au (0.5000, 0.5000, 0.5000)  12 Sr 4.03